Crystalline KCd2Au at its relaxed geometry. Source: the Alexandria database, functional GGA-PBE.

Cell lengths 6.599, 6.599, 3.198 Å; angles 77.44, 77.44, 123.04 degrees
Sites, in units of the cell vectors:
K 0.500 0.000 0.500
Cd 0.000 0.000 0.000
Cd 0.500 0.500 0.000
Au 0.000 0.500 0.500

Calculated values
The energy comes out at -1.52 eV/atom. As for the formation energy from the elements: 0.73 kcal/mol of atoms. As for the symmetry: C2/m, No. 12. The value obtained for the mass density is 7.4 g cm⁻³.


Crystalline Nb2ZnAgH at its relaxed geometry. Source: the Alexandria database, functional GGA-PBE.

Cell lengths 3.984, 3.984, 4.483 Å; angles 90.00, 90.00, 90.00 degrees
Sites, in units of the cell vectors:
H 0.000 0.000 0.000
Nb 0.000 0.500 0.000
Nb 0.500 0.000 0.000
Zn 0.500 0.500 0.500
Ag 0.000 0.000 0.500

Calculated values
The energy comes out at -5.49 eV/atom. As for the symmetry: P4/mmm, No. 123. The polymorph energy (0 for the lowest one) is 0.000 eV per atom. The value obtained for the mass density is 8.4 g cm⁻³.


Crystalline La8Pr5Mg at its relaxed geometry. Source: the Alexandria database, functional GGA-PBE.

Cell lengths 8.752, 8.752, 8.752 Å; angles 109.81, 108.80, 109.81 degrees
Sites, in units of the cell vectors:
Pr 0.016 0.303 0.126
Pr 0.874 0.890 0.177
Pr 0.286 0.110 0.984
Pr 0.823 0.697 0.714
Pr 0.500 0.000 0.500
La 0.754 0.270 0.352
La 0.648 0.402 0.917
La 0.083 0.730 0.485
La 0.339 0.273 0.446
La 0.935 0.107 0.661
La 0.554 0.893 0.827
La 0.173 0.727 0.065
La 0.515 0.598 0.246
Mg 0.250 0.500 0.750

Calculated values
The energy comes out at -4.44 eV/atom. As for the formation energy from the elements: 4.45 kcal/mol of atoms. As for the symmetry: I-4, No. 82. The value obtained for the mass density is 5.9 g cm⁻³.


- The lowest energy belongs to which entry?
  Nb2ZnAgH


- energy of number 1 (KCd2Au)?
  -1.52 eV/atom


- Among the records above, which one has the highest energy?
  KCd2Au